[1]
{
  "formula": "SrMg2Tc",
  "functional": "meta-GGA SCAN",
  "state": "PBEsol geometry",
  "formation_enthalpy_0k_ev_per_atom": 0.597,
  "volume_a3_per_cell": 88,
  "sg": "I-4m2 (119)",
  "energy_ev_per_atom": -16.2242,
  "lattice": [[-2.260, 2.260, 4.323], [2.260, -2.260, 4.323], [2.260, 2.260, -4.323]],
  "species": ["Sr", "Mg", "Mg", "Tc"],
  "fractional_positions": [[0.000, 0.000, 0.000], [0.250, 0.750, 0.500], [0.500, 0.500, 0.000], [0.750, 0.250, 0.500]]
}

=====

[2]
{
  "formula": "MgIrRh2",
  "functional": "meta-GGA SCAN",
  "state": "PBEsol geometry",
  "formation_enthalpy_0k_ev_per_atom": -0.279,
  "volume_a3_per_cell": 56,
  "sg": "I4/mmm (139)",
  "energy_ev_per_atom": -36.1834,
  "lattice": [[-1.923, 1.923, 3.800], [1.923, -1.923, 3.800], [1.923, 1.923, -3.800]],
  "species": ["Mg", "Ir", "Rh", "Rh"],
  "fractional_positions": [[0.000, 0.000, 0.000], [0.500, 0.500, 0.000], [0.250, 0.750, 0.500], [0.750, 0.250, 0.500]]
}

=====

[3]
{
  "formula": "Mg2TaTe",
  "functional": "meta-GGA SCAN",
  "state": "PBEsol geometry",
  "volume_a3_per_cell": 83,
  "e_form_raw_ev_per_atom": 0.1880,
  "sg": "Pm (6)",
  "energy_ev_per_atom": -28.2574,
  "lattice": [[3.004, 0.000, 0.000], [0.000, 5.064, 0.000], [-0.009, 0.000, 5.434]],
  "species": ["Mg", "Mg", "Ta", "Te"],
  "fractional_positions": [[0.000, 0.000, 0.000], [0.003, 0.500, 0.715], [0.502, 0.500, 0.215], [0.503, 0.000, 0.470]]
}

=====

[4]
{
  "formula": "MnCr3O8",
  "functional": "meta-GGA SCAN",
  "state": "PBEsol geometry",
  "volume_a3_per_cell": 241,
  "e_form_raw_ev_per_atom": -2.0965,
  "sg": "P6_3mc (186)",
  "energy_ev_per_atom": -12.3680,
  "lattice": [[5.684, 0.000, 0.000], [-2.842, 4.923, 0.000], [0.000, 0.000, 8.627]],
  "species": ["Mn", "Mn", "Cr", "Cr", "Cr", "Cr", "Cr", "Cr", "O", "O", "O", "O", "O", "O", "O", "O", "O", "O", "O", "O", "O", "O", "O", "O"],
  "fractional_positions": [[0.333, 0.667, 0.000], [0.667, 0.333, 0.500], [0.164, 0.329, 0.274], [0.164, 0.836, 0.274], [0.329, 0.164, 0.774], [0.671, 0.836, 0.274], [0.836, 0.164, 0.774], [0.836, 0.671, 0.774], [0.000, 0.000, 0.158], [0.000, 0.000, 0.658], [0.046, 0.523, 0.139], [0.171, 0.342, 0.875], [0.171, 0.829, 0.875], [0.333, 0.667, 0.378], [0.342, 0.171, 0.375], [0.477, 0.523, 0.139], [0.477, 0.954, 0.139], [0.523, 0.046, 0.639], [0.523, 0.477, 0.639], [0.658, 0.829, 0.875], [0.667, 0.333, 0.878], [0.829, 0.171, 0.375], [0.829, 0.658, 0.375], [0.954, 0.477, 0.639]]
}